## w
Below is LiGdPbSe3 after structural relaxation, with properties calculated at the GGA-PBE level.

```
data_LiGdPbSe3
_symmetry_space_group_name_H-M 'C 1 2/m 1'
_symmetry_Int_Tables_number 12
_cell_length_a 17.787
_cell_length_b 4.123
_cell_length_c 8.701
_cell_angle_alpha 90.00
_cell_angle_beta 104.02
_cell_angle_gamma 90.00
loop_
_symmetry_equiv_pos_as_xyz
'x,y,z'
'-x,-y,-z'
'-x,y,-z'
'x,-y,z'
'x+1/2,y+1/2,z'
'-x+1/2,-y+1/2,-z'
'-x+1/2,y+1/2,-z'
'x+1/2,-y+1/2,z'
loop_
_atom_site_label
_atom_site_type_symbol
_atom_site_fract_x
_atom_site_fract_y
_atom_site_fract_z
Li1 Li 0.002 0.000 0.198
Gd1 Gd 0.166 0.500 0.090
Pb1 Pb 0.133 0.500 0.565
Se1 Se 0.000 0.000 0.500
Se2 Se 0.000 0.500 0.000
Se3 Se 0.166 0.000 0.856
Se4 Se 0.175 0.000 0.323
```

Results
**Spin magnetization**: 0.0 μB per formula unit

***

## x
Below is LiGdPbSe3 after structural relaxation, with properties calculated at the GGA-PBE level.

```
data_LiGdPbSe3
_symmetry_space_group_name_H-M 'C m c m'
_symmetry_Int_Tables_number 63
_symmetry_space_group_name_Hall '-C 2c 2'
_cell_length_a 4.167
_cell_length_b 13.501
_cell_length_c 10.822
_cell_angle_alpha 90.00
_cell_angle_beta 90.00
_cell_angle_gamma 90.00
loop_
_atom_site_label
_atom_site_type_symbol
_atom_site_fract_x
_atom_site_fract_y
_atom_site_fract_z
Li1 Li 0.000 0.024 0.250
Gd1 Gd 0.000 0.500 0.000
Pb1 Pb 0.000 0.255 0.750
Se1 Se 0.000 0.139 0.067
Se2 Se 0.000 0.418 0.250
```

Results
**Spin magnetization**: 0.0 μB per formula unit

***

Of the structures shown above, x is the least stable.